Entry 1:
VASP calculation (PBE) on Ac5CoSe4 after structural relaxation.

Unit cell a=6.3444 b=7.7045 c=7.7045 alpha=80.24 beta=65.69 gamma=65.69
Positions (direct):
Ac 0.9060 0.3733 0.8168
Ac 0.2793 0.8168 0.6267
Ac 0.7227 0.1832 0.3733
Ac 0.0960 0.6267 0.1832
Ac 0.5011 0.0000 0.0000
Co 0.0013 0.0000 0.0000
Se 0.4097 0.3983 0.7843
Se 0.8080 0.7843 0.6017
Se 0.1940 0.2157 0.3983
Se 0.5923 0.6017 0.2157

Output
- Uncorrected formation energy: -1.4560 eV per atom
- Total DFT energy (no corrections): -5.6146 eV/atom
- Size of the total moment: 0.00 μB per atom

---

Entry 2:
VASP calculation (PBE) on SmEr8Bi6 after structural relaxation.

Unit cell a=7.6136 b=7.6136 c=10.7391 alpha=69.24 beta=69.24 gamma=60.00
Positions (direct):
Sm 0.0000 0.0000 0.0000
Er 0.5528 0.2059 0.3662
Er 0.7941 0.1249 0.6338
Er 0.1249 0.4472 0.6338
Er 0.6664 0.6664 0.0009
Er 0.3336 0.3336 0.9991
Er 0.8751 0.5528 0.3662
Er 0.2059 0.8751 0.3662
Er 0.4472 0.7941 0.6338
Bi 0.4037 0.0615 0.8104
Bi 0.9385 0.2755 0.1896
Bi 0.2755 0.5963 0.1896
Bi 0.7245 0.4037 0.8104
Bi 0.0615 0.7245 0.8104
Bi 0.5963 0.9385 0.1896

Output
- Total DFT energy (no corrections): -4.7844 eV/atom
- Size of the total moment: 0.00 μB per atom

---

Entry 3:
VASP calculation (PBE) on SrTb4PrSe8 after structural relaxation.

Unit cell a=8.5728 b=8.5728 c=8.6558 alpha=60.32 beta=60.32 gamma=60.00
Positions (direct):
Sr 0.3731 0.3731 0.8806
Tb 0.6257 0.6257 0.1229
Tb 0.0016 0.4948 0.5020
Tb 0.4948 0.0016 0.5020
Tb 0.0016 0.0016 0.5020
Pr 0.0018 0.0018 0.9945
Se 0.2429 0.7872 0.7269
Se 0.7872 0.2429 0.7269
Se 0.2429 0.2429 0.7269
Se 0.2360 0.2360 0.2919
Se 0.7518 0.2307 0.2657
Se 0.2307 0.7518 0.2657
Se 0.7518 0.7518 0.2657
Se 0.7579 0.7579 0.7263

Output
- Uncorrected formation energy: -1.7970 eV per atom
- Total DFT energy (no corrections): -5.5726 eV/atom
- Size of the total moment: 0.00 μB per atom

---

What did the third record say?
VASP calculation (PBE) on SrTb4PrSe8 after structural relaxation.

Unit cell a=8.5728 b=8.5728 c=8.6558 alpha=60.32 beta=60.32 gamma=60.00
Positions (direct):
Sr 0.3731 0.3731 0.8806
Tb 0.6257 0.6257 0.1229
Tb 0.0016 0.4948 0.5020
Tb 0.4948 0.0016 0.5020
Tb 0.0016 0.0016 0.5020
Pr 0.0018 0.0018 0.9945
Se 0.2429 0.7872 0.7269
Se 0.7872 0.2429 0.7269
Se 0.2429 0.2429 0.7269
Se 0.2360 0.2360 0.2919
Se 0.7518 0.2307 0.2657
Se 0.2307 0.7518 0.2657
Se 0.7518 0.7518 0.2657
Se 0.7579 0.7579 0.7263

Output
- Uncorrected formation energy: -1.7970 eV per atom
- Total DFT energy (no corrections): -5.5726 eV/atom
- Size of the total moment: 0.00 μB per atom